1.
# CuAg2Mo

An optimized crystal structure of CuAg2Mo (PBE, Alexandria).

Values from the calculation:
SG: Pm (6)
Calculated total energy, eV for the cell shown: -19.00

Cell lengths 4.2109, 2.6662, 5.8762 Å; angles 77.13, 90.00, 90.00 degrees
Last column: nearest neighbours and their distance in Å.
Sites, in units of the cell vectors:
Ag  0.0000  0.0674  0.9981  1 Cu 2.66, 6 Ag 2.67-2.88, 4 Mo 2.96-2.97
Ag  0.5000  0.4443  0.2501  2 Cu 2.66, 6 Ag 2.67-2.88, 1 Mo 2.98
Cu  0.0000  0.2862  0.5342  3 Ag 2.66, 2 Cu 2.67, 4 Mo 2.70-2.71
Mo  0.5000  0.7021  0.7176  2 Mo 2.67, 4 Cu 2.70-2.71, 5 Ag 2.96-2.98

2.
# CuAgMo

An optimized crystal structure of CuAgMo (PBE, Alexandria).

Values from the calculation:
SG: P3m1 (156)
Calculated total energy, eV for the cell shown: -16.68

Cell lengths 2.7531, 2.7531, 7.0345 Å; angles 90.00, 90.00, 120.00 degrees
Last column: nearest neighbours and their distance in Å.
Sites, in units of the cell vectors:
Ag  0.0000  0.0000  0.0109  6 Ag 2.75, 3 Cu 2.80, 3 Mo 2.99
Cu  0.6667  0.3333  0.3384  3 Mo 2.71, 6 Cu 2.75, 3 Ag 2.80
Mo  0.3333  0.6667  0.6508  3 Cu 2.71, 6 Mo 2.75, 3 Ag 2.99

3.
# CuAg2Mo

An optimized crystal structure of CuAg2Mo (PBE, Alexandria).

Values from the calculation:
SG: Cmmm (65)
Calculated total energy, eV for the cell shown: -19.27

Cell lengths 2.7379, 2.7379, 8.4006 Å; angles 90.00, 90.00, 89.26 degrees
Last column: nearest neighbours and their distance in Å.
Sites, in units of the cell vectors:
Ag  0.0000  0.0000  0.0161  4 Ag 2.74, 4 Cu 2.75-2.77, 4 Mo 2.95-2.97
Ag  0.0000  0.0000  0.4839  4 Ag 2.74, 4 Cu 2.75-2.77, 4 Mo 2.95-2.97
Cu  0.5000  0.5000  0.2500  4 Cu 2.74, 8 Ag 2.75-2.77
Mo  0.5000  0.5000  0.7500  4 Mo 2.74, 8 Ag 2.95-2.97

4.
# CuAg2Mo

An optimized crystal structure of CuAg2Mo (PBE, Alexandria).

Values from the calculation:
SG: Pmmm (47)
Calculated total energy, eV for the cell shown: -18.59

Cell lengths 2.7015, 4.8493, 4.9643 Å; angles 90.00, 90.00, 90.00 degrees
Last column: nearest neighbours and their distance in Å.
Sites, in units of the cell vectors:
Ag  0.0000  0.0000  0.0000  6 Ag 2.70-2.78, 4 Cu 2.83
Ag  0.5000  0.5000  0.0000  6 Ag 2.70-2.78, 4 Mo 2.83
Cu  0.5000  0.0000  0.5000  2 Cu 2.70, 4 Mo 2.78, 4 Ag 2.83
Mo  0.0000  0.5000  0.5000  2 Mo 2.70, 4 Cu 2.78, 4 Ag 2.83

5.
# CuAgMo

An optimized crystal structure of CuAgMo (PBE, Alexandria).

Values from the calculation:
SG: I4mm (107)
Calculated total energy, eV for the cell shown: -16.80

Cell lengths 6.4689, 6.4689, 6.4689 Å; angles 155.80, 155.80, 34.49 degrees
Last column: nearest neighbours and their distance in Å.
Sites, in units of the cell vectors:
Ag  0.9933  0.9933  0.0000  4 Ag 2.71, 4 Cu 2.79, 4 Mo 2.97
Cu  0.3299  0.3299  0.0000  4 Mo 2.69, 4 Cu 2.71, 4 Ag 2.79
Mo  0.6768  0.6768  0.0000  4 Cu 2.69, 4 Mo 2.71, 4 Ag 2.97

6.
# CuAg2Mo

An optimized crystal structure of CuAg2Mo (PBE, Alexandria).

Values from the calculation:
SG: P4mm (99)
Calculated total energy, eV for the cell shown: -19.58

Cell lengths 2.7492, 2.7492, 8.3651 Å; angles 90.00, 90.00, 90.00 degrees
Last column: nearest neighbours and their distance in Å.
Sites, in units of the cell vectors:
Ag  0.0000  0.0000  0.9969  8 Ag 2.75-2.99, 4 Mo 2.97
Ag  0.5000  0.5000  0.2688  8 Ag 2.75-2.99, 4 Cu 2.78
Cu  0.0000  0.0000  0.5057  4 Mo 2.69, 4 Cu 2.75, 4 Ag 2.78
Mo  0.5000  0.5000  0.7286  4 Cu 2.69, 4 Mo 2.75, 4 Ag 2.97

7.
# CuAg2Mo

An optimized crystal structure of CuAg2Mo (PBE, Alexandria).

Values from the calculation:
SG: Cmmm (65)
Calculated total energy, eV for the cell shown: -18.48

Cell lengths 5.1149, 5.1149, 2.6826 Å; angles 90.00, 90.00, 112.07 degrees
Last column: nearest neighbours and their distance in Å.
Sites, in units of the cell vectors:
Ag  0.0000  0.0000  0.0000  4 Ag 2.68-2.86, 4 Cu 2.89, 4 Mo 2.89
Ag  0.5000  0.5000  0.0000  4 Ag 2.68-2.86, 4 Mo 2.89, 4 Cu 2.89
Cu  0.5000  0.0000  0.5000  2 Cu 2.68, 2 Mo 2.86, 8 Ag 2.89
Mo  0.0000  0.5000  0.5000  2 Mo 2.68, 2 Cu 2.86, 8 Ag 2.89

8.
# CuAg2Mo

An optimized crystal structure of CuAg2Mo (PBE, Alexandria).

Values from the calculation:
SG: Cm (8)
Calculated total energy, eV for the cell shown: -18.72

Cell lengths 4.8486, 4.8486, 5.1497 Å; angles 81.47, 81.47, 32.39 degrees
Last column: nearest neighbours and their distance in Å.
Sites, in units of the cell vectors:
Ag  0.9986  0.9986  0.0024  5 Ag 2.70-2.89, 3 Mo 2.82-2.89, 4 Cu 2.83-2.99
Ag  0.7567  0.7567  0.7481  5 Ag 2.70-2.89, 3 Cu 2.82-2.91, 4 Mo 2.85-2.97
Cu  0.5018  0.5018  0.4839  2 Cu 2.70, 3 Mo 2.71-2.81, 7 Ag 2.82-2.99
Mo  0.2428  0.2428  0.2657  2 Mo 2.70, 3 Cu 2.71-2.81, 7 Ag 2.82-2.97

9.
# CuAg2Mo

An optimized crystal structure of CuAg2Mo (PBE, Alexandria).

Values from the calculation:
SG: P4/mmm (123)
Calculated total energy, eV for the cell shown: -17.79

Cell lengths 4.4192, 3.8788, 3.8788 Å; angles 90.00, 90.00, 90.00 degrees
Last column: nearest neighbours and their distance in Å.
Sites, in units of the cell vectors:
Ag  0.0000  0.0000  0.0000  4 Ag 2.74, 4 Mo 2.94, 4 Cu 2.94
Ag  0.0000  0.5000  0.5000  4 Ag 2.74, 4 Mo 2.94, 4 Cu 2.94
Cu  0.5000  0.5000  0.0000  4 Mo 2.74, 8 Ag 2.94
Mo  0.5000  0.0000  0.5000  4 Cu 2.74, 8 Ag 2.94

10.
# CuAg2Mo

An optimized crystal structure of CuAg2Mo (PBE, Alexandria).

Values from the calculation:
SG: Imm2 (44)
Calculated total energy, eV for the cell shown: -18.51

Cell lengths 5.6509, 5.6509, 5.6509 Å; angles 152.28, 128.64, 59.37 degrees
Last column: nearest neighbours and their distance in Å.
Sites, in units of the cell vectors:
Ag  0.0015  0.0015  0.0000  4 Ag 2.71-2.98, 4 Cu 2.80, 2 Mo 2.97
Ag  0.7309  0.2309  0.5000  2 Cu 2.66, 4 Ag 2.71-2.98, 4 Mo 2.83
Cu  0.4972  0.4972  0.0000  2 Mo 2.60, 6 Ag 2.66-2.80, 2 Cu 2.71
Mo  0.2705  0.7705  0.5000  2 Cu 2.60, 2 Mo 2.71, 4 Ag 2.83

11.
# CuAgMo3

An optimized crystal structure of CuAgMo3 (PBE, Alexandria).

Values from the calculation:
SG: Pm-3m (221)
Calculated total energy, eV for the cell shown: -31.36

Cell lengths 4.5194, 4.5194, 4.5194 Å; angles 90.00, 90.00, 90.00 degrees
Last column: nearest neighbours and their distance in Å.
Sites, in units of the cell vectors:
Mo  0.0000  0.5000  0.0000  2 Cu 2.26
Mo  0.0000  0.0000  0.5000  2 Cu 2.26
Mo  0.5000  0.0000  0.0000  2 Cu 2.26
Cu  0.0000  0.0000  0.0000  6 Mo 2.26
Ag  0.5000  0.5000  0.5000  12 Mo 3.20

12.
# CuAg2Mo

An optimized crystal structure of CuAg2Mo (PBE, Alexandria).

Values from the calculation:
SG: C2/m (12)
Calculated total energy, eV for the cell shown: -18.73

Cell lengths 4.9537, 4.9537, 4.9933 Å; angles 81.92, 81.92, 31.67 degrees
Last column: nearest neighbours and their distance in Å.
Sites, in units of the cell vectors:
Ag  0.0029  0.0029  0.9968  6 Ag 2.70-2.86, 3 Mo 2.83-2.89, 3 Cu 2.84-2.86
Ag  0.4971  0.4971  0.5032  6 Ag 2.70-2.86, 3 Mo 2.83-2.89, 3 Cu 2.84-2.86
Cu  0.7500  0.7500  0.7500  2 Cu 2.70, 6 Ag 2.84-2.86, 4 Mo 2.84
Mo  0.2500  0.2500  0.2500  2 Mo 2.70, 6 Ag 2.83-2.89, 4 Cu 2.84

13.
# CuAg2Mo

An optimized crystal structure of CuAg2Mo (PBE, Alexandria).

Values from the calculation:
SG: Immm (71)
Calculated total energy, eV for the cell shown: -18.58

Cell lengths 5.6532, 5.6532, 5.6532 Å; angles 152.42, 129.31, 58.68 degrees
Last column: nearest neighbours and their distance in Å.
Sites, in units of the cell vectors:
Ag  0.9840  0.9840  0.0000  2 Cu 2.67, 6 Ag 2.69-2.79, 2 Mo 2.95
Ag  0.5160  0.5160  0.0000  2 Cu 2.67, 6 Ag 2.69-2.79, 2 Mo 2.95
Cu  0.7500  0.2500  0.5000  4 Ag 2.67, 2 Cu 2.69, 4 Mo 2.77
Mo  0.2500  0.7500  0.5000  2 Mo 2.69, 4 Cu 2.77, 4 Ag 2.95

14.
# CuAg2Mo

An optimized crystal structure of CuAg2Mo (PBE, Alexandria).

Values from the calculation:
SG: P2/m (10)
Calculated total energy, eV for the cell shown: -18.73

Cell lengths 4.5722, 2.6492, 5.3229 Å; angles 81.10, 90.00, 90.00 degrees
Last column: nearest neighbours and their distance in Å.
Sites, in units of the cell vectors:
Ag  0.0000  0.0957  0.0063  5 Ag 2.65-2.93, 2 Cu 2.69, 2 Mo 2.88
Ag  0.0000  0.4043  0.4937  5 Ag 2.65-2.93, 2 Cu 2.69, 2 Mo 2.88
Cu  0.5000  0.2500  0.2500  2 Cu 2.65, 4 Ag 2.69, 2 Mo 2.78
Mo  0.5000  0.7500  0.7500  2 Mo 2.65, 2 Cu 2.78, 4 Ag 2.88

15.
# NaCuAgMo2

An optimized crystal structure of NaCuAgMo2 (PBE, Alexandria).

Values from the calculation:
SG: P4/mmm (123)
Calculated total energy, eV for the cell shown: -19.62

Cell lengths 5.1630, 5.0383, 5.1630 Å; angles 90.00, 90.00, 90.00 degrees
Last column: nearest neighbours and their distance in Å.
Sites, in units of the cell vectors:
Na  0.0000  0.5000  0.0000  2 Ag 2.52
Mo  0.0000  0.0000  0.5000  2 Ag 2.58
Mo  0.5000  0.0000  0.0000  2 Ag 2.58
Cu  0.5000  0.5000  0.5000  8 Mo 3.61, 4 Na 3.65
Ag  0.0000  0.0000  0.0000  2 Na 2.52, 4 Mo 2.58